Here is an optimized crystal structure of Mg3TiSn from Alexandria. Energies are from PBE-GGA.

Unit cell a=5.320 b=5.320 c=5.320 alpha=90.00 beta=90.00 gamma=90.00
Space group Pm-3m (No. 221)
Asymmetric unit:
Mg  0.000  0.000  0.500 x3
Ti  0.000  0.000  0.000 x1
Sn  0.500  0.500  0.500 x1

Results
- E (eV/atom) = -2.443
- relative energy among the computed polymorphs (eV/f.u.) = 0.18
- formation enthalpy at 0 K (meV/atom) = 893
- total magnetic moment (μB per atom) = 0.563

=====

Here is an optimized crystal structure of Mg3TiSn from Alexandria. Energies are from PBE-GGA.

Unit cell a=5.249 b=5.249 c=5.249 alpha=90.00 beta=90.00 gamma=90.00
Space group Pm-3m (No. 221)
Asymmetric unit:
Mg  0.000  0.000  0.500 x3
Ti  0.500  0.500  0.500 x1
Sn  0.000  0.000  0.000 x1

Results
- E (eV/atom) = -2.480
- relative energy among the computed polymorphs (eV/f.u.) = 0.00
- formation enthalpy at 0 K (meV/atom) = 857
- total magnetic moment (μB per atom) = 0.000